An optimized crystal structure of PuPaRePd. Source: Alexandria via LeMat-Bulk, functional PBE-GGA.

Lattice parameters (Å, degrees): 4.895 4.895 4.895 60.00 60.00 60.00
Fractional positions:
Re: 0.500 0.500 0.500
Pa: 0.250 0.250 0.250
Pd: 0.000 0.000 0.000
Pu: 0.750 0.750 0.750

Properties
The formation enthalpy at 0 K comes out at -0.107 eV/atom. As for the spin magnetization: 5.535 μB/cell. As for the density of states at the Fermi level: 9.4 states/eV/f.u.